Record 1
Below is an optimized crystal structure of Be2SeBr, with properties calculated at the PBEsol level.

```
Be2SeBr
1.0
1.660 -3.360 0.000
1.660 3.360 0.000
0.000 0.000 6.630
Be Se Br
2 1 1
Cartesian
0.000 0.000 1.484 Be
0.000 0.000 5.146 Be
1.660 0.000 0.000 Se
1.660 0.000 3.315 Br
```

Properties
Mass density = 3.97 g cm⁻³
ΔE to the lowest computed polymorph = 5 meV/atom
Formation energy from raw total energies = 109 meV per atom
Crystal system = orthorhombic
Total moment = 0.00 μB/cell
Space-group type = No. 65

Record 2
Below is an optimized crystal structure of HPb3F, with properties calculated at the PBEsol level.

```
HPb3F
1.0
4.996 0.000 0.000
0.000 4.996 0.000
0.000 0.000 4.996
H Pb F
1 3 1
Cartesian
0.000 0.000 0.000 H
0.000 2.498 2.498 Pb
2.498 0.000 2.498 Pb
2.498 2.498 0.000 Pb
2.498 2.498 2.498 F
```

Properties
Mass density = 8.54 g cm⁻³
Total energy = -16.5 eV for the cell shown
Crystal system = cubic
Total moment = 0.00 μB/cell
Space-group type = No. 221

Record 3
Below is an optimized crystal structure of Mg2SbOs, with properties calculated at the PBEsol level.

```
Mg2SbOs
1.0
-2.001 2.001 4.368
2.001 -2.001 4.368
2.001 2.001 -4.368
Mg Sb Os
2 1 1
Cartesian
2.001 0.000 2.184 Mg
0.000 2.001 2.184 Mg
0.000 0.000 0.000 Sb
0.000 0.000 4.368 Os
```

Properties
Mass density = 8.56 g cm⁻³
Formation energy from raw total energies = 138 meV per atom
Crystal system = tetragonal
Total moment = 0.00 μB/cell
Space-group type = No. 139

Record 4
Below is an optimized crystal structure of CdPtSe2, with properties calculated at the PBEsol level.

```
CdPtSe2
1.0
-1.846 2.220 5.470
1.846 -2.220 5.470
1.846 2.220 -5.470
Cd Pt Se
1 1 2
Cartesian
0.000 0.000 0.000 Cd
0.000 0.000 5.470 Pt
1.846 0.000 3.779 Se
0.000 2.220 1.691 Se
```

Properties
Mass density = 8.62 g cm⁻³
Formation energy from raw total energies = -300 meV per atom
Crystal system = orthorhombic
Total moment = 0.00 μB/cell
Space-group type = No. 71

Record 5
Below is an optimized crystal structure of TlRh2W, with properties calculated at the PBEsol level.

```
TlRh2W
1.0
0.000 3.162 3.162
3.162 0.000 3.162
3.162 3.162 0.000
Tl Rh W
1 2 1
Cartesian
0.000 0.000 0.000 Tl
1.581 1.581 1.581 Rh
3.162 3.162 3.162 Rh
4.743 4.743 4.743 W
```

Properties
Mass density = 15.60 g cm⁻³
ΔE to the lowest computed polymorph = 332 meV/atom
Crystal system = cubic
Total moment = 0.00 μB/cell
Space-group type = No. 216

Record 6
Below is an optimized crystal structure of LiZnIn2, with properties calculated at the PBEsol level.

```
LiZnIn2
1.0
3.360 0.000 0.000
0.000 4.677 0.000
0.000 0.000 4.966
Li Zn In
1 1 2
Cartesian
0.000 0.000 0.000 Li
0.000 2.339 3.240 Zn
1.680 0.000 2.580 In
1.680 2.339 0.627 In
```

Properties
Mass density = 6.43 g cm⁻³
Total energy = -9.9 eV for the cell shown
Crystal system = orthorhombic
Total moment = 0.00 μB/cell
Space-group type = No. 25

Record 7
Below is an optimized crystal structure of ScCuIr2, with properties calculated at the PBEsol level.

```
ScCuIr2
1.0
-1.469 2.303 4.329
1.469 -2.303 4.329
1.469 2.303 -4.329
Sc Cu Ir
1 1 2
Cartesian
0.000 0.000 0.000 Sc
0.000 0.000 4.329 Cu
1.469 0.000 2.219 Ir
0.000 2.303 2.110 Ir
```

Properties
Mass density = 13.97 g cm⁻³
Total energy = -31.6 eV for the cell shown
Crystal system = orthorhombic
Total moment = 0.00 μB/cell
Space-group type = No. 71

Record 8
Below is an optimized crystal structure of Mo6PbSe4S4, with properties calculated at the PBEsol level.

```
Mo6PbSe4S4
1.0
6.568 0.000 0.000
-0.386 6.662 0.000
-0.023 -0.041 6.674
Mo Pb Se S
6 1 4 4
Cartesian
0.000 0.000 0.000 Mo
-0.200 4.319 1.357 Mo
0.947 6.546 2.321 Mo
4.031 5.653 1.208 Mo
5.515 1.205 2.151 Mo
5.367 5.545 3.568 Mo
2.593 3.062 5.489 Pb
0.323 1.131 4.305 Se
0.974 4.349 3.531 Se
4.187 3.489 2.586 Se
4.342 1.093 6.596 Se
1.005 1.964 1.037 S
1.661 5.392 0.239 S
3.687 0.113 3.289 S
5.093 4.525 5.946 S
```

Properties
Mass density = 6.98 g cm⁻³
Formation energy from raw total energies = -620 meV per atom
Crystal system = triclinic
Total moment = 0.00 μB/cell
Space-group type = No. 1

Record 9
Below is an optimized crystal structure of CdPt5, with properties calculated at the PBEsol level.

```
CdPt5
1.0
2.799 0.000 0.000
0.000 2.799 0.000
0.000 0.000 11.862
Cd Pt
1 5
Cartesian
0.000 0.000 0.000 Cd
0.000 0.000 4.019 Pt
0.000 0.000 7.844 Pt
1.400 1.400 2.073 Pt
1.400 1.400 5.931 Pt
1.400 1.400 9.790 Pt
```

Properties
Mass density = 19.44 g cm⁻³
Total energy = -36.5 eV for the cell shown
Crystal system = tetragonal
Total moment = 0.00 μB/cell
Space-group type = No. 123

Record 10
Below is an optimized crystal structure of KW3O9, with properties calculated at the PBEsol level.

```
KW3O9
1.0
7.411 0.000 0.000
0.000 3.820 0.000
-3.704 0.000 32.086
K W O
5 15 45
Cartesian
0.000 0.000 0.000 K
0.000 2.541 12.835 K
0.006 2.505 25.666 K
3.701 2.505 6.420 K
3.707 2.541 19.252 K
-1.852 1.252 16.043 W
0.000 1.248 6.418 W
-1.850 1.253 22.461 W
-1.850 1.253 28.877 W
1.851 1.253 3.208 W
0.001 1.253 19.251 W
1.851 1.252 9.628 W
1.853 1.252 16.043 W
3.705 1.262 0.000 W
1.856 1.252 22.459 W
3.706 1.253 12.835 W
1.855 1.253 28.878 W
5.557 1.253 3.210 W
3.707 1.248 25.669 W
5.556 1.253 9.625 W
-1.852 3.167 16.043 O
-0.001 1.247 2.710 O
-2.345 1.259 24.314 O
-1.357 1.260 17.897 O
0.000 3.165 6.417 O
-1.850 3.167 22.461 O
-2.346 1.259 27.024 O
-1.356 1.260 20.607 O
-0.002 1.261 10.125 O
-1.850 3.163 28.877 O
0.001 1.260 15.544 O
1.358 1.259 5.062 O
-1.356 1.249 30.731 O
1.851 3.163 3.208 O
0.001 3.167 19.252 O
1.357 1.259 7.773 O
2.347 1.249 1.355 O
0.003 1.261 22.959 O
1.851 3.167 9.627 O
0.002 1.259 28.379 O
1.359 1.260 17.896 O
2.347 1.260 11.480 O
3.705 3.164 0.000 O
1.853 3.167 16.043 O
1.360 1.260 20.606 O
2.348 1.260 14.190 O
3.704 1.259 3.707 O
1.856 3.167 22.459 O
3.704 1.261 9.127 O
1.360 1.249 30.731 O
2.349 1.259 24.313 O
1.855 3.163 28.878 O
3.705 3.167 12.835 O
5.063 1.249 1.356 O
2.349 1.259 27.024 O
3.706 1.260 16.542 O
5.557 3.163 3.209 O
3.708 1.261 21.961 O
5.062 1.260 11.479 O
6.052 1.259 5.062 O
3.706 3.165 25.669 O
5.556 3.167 9.625 O
5.064 1.260 14.190 O
6.052 1.259 7.773 O
3.707 1.247 29.377 O
```

Properties
Mass density = 6.71 g cm⁻³
Formation energy from raw total energies = -2191 meV per atom
Crystal system = monoclinic
Total moment = 0.00 μB/cell
Space-group type = No. 3

Record 11
Below is an optimized crystal structure of K3NaS2O8, with properties calculated at the PBEsol level.

```
K3NaS2O8
1.0
5.665 0.000 0.000
-2.832 4.906 0.000
0.000 0.000 7.298
K Na S O
3 1 2 8
Cartesian
0.000 0.000 0.000 K
0.000 3.271 4.933 K
2.832 1.635 2.365 K
0.000 0.000 3.649 Na
0.000 3.271 1.692 S
2.832 1.635 5.606 S
0.000 1.870 2.217 O
-1.213 3.971 2.217 O
0.000 3.271 0.224 O
1.619 0.935 5.081 O
1.213 3.971 2.217 O
2.832 1.635 7.074 O
4.046 0.935 5.081 O
2.832 3.036 5.081 O
```

Properties
Mass density = 2.72 g cm⁻³
Formation energy from raw total energies = -1903 meV per atom
Crystal system = trigonal
Total moment = 0.00 μB/cell
Space-group type = No. 164

Record 12
Below is an optimized crystal structure of CuIr2Pt, with properties calculated at the PBEsol level.

```
CuIr2Pt
1.0
-1.910 1.910 3.753
1.910 -1.910 3.753
1.910 1.910 -3.753
Cu Ir Pt
1 2 1
Cartesian
0.000 0.000 0.000 Cu
1.910 0.000 1.877 Ir
0.000 1.910 1.877 Ir
0.000 0.000 3.753 Pt
```

Properties
Mass density = 19.51 g cm⁻³
ΔE to the lowest computed polymorph = 86 meV/atom
Crystal system = tetragonal
Total moment = 0.00 μB/cell
Space-group type = No. 139

Record 13
Below is an optimized crystal structure of Sr2HgAs2, with properties calculated at the PBEsol level.

```
Sr2HgAs2
1.0
7.862 0.000 0.000
0.000 7.862 0.000
0.000 0.000 4.316
Sr Hg As
4 2 4
Cartesian
1.435 2.496 0.000 Sr
2.496 6.427 0.000 Sr
5.366 1.435 0.000 Sr
6.427 5.366 0.000 Sr
0.000 0.000 2.158 Hg
3.931 3.931 2.158 Hg
0.874 4.805 2.158 As
3.057 0.874 2.158 As
4.805 6.988 2.158 As
6.988 3.057 2.158 As
```

Properties
Mass density = 6.54 g cm⁻³
Total energy = -37.4 eV for the cell shown
Crystal system = tetragonal
Total moment = 0.00 μB/cell
Space-group type = No. 127

Record 14
Below is an optimized crystal structure of La5Ag3, with properties calculated at the PBEsol level.

```
La5Ag3
1.0
-6.057 6.057 3.043
6.057 -6.057 3.043
6.057 6.057 -3.043
La Ag
10 6
Cartesian
9.454 1.057 0.000 La
1.057 2.660 0.000 La
6.057 0.000 1.522 La
7.115 3.397 0.000 La
3.397 5.000 0.000 La
2.660 1.057 3.043 La
-1.057 2.660 3.043 La
0.000 6.057 1.522 La
5.000 3.397 3.043 La
-3.397 5.000 3.043 La
4.100 1.957 0.000 Ag
0.000 0.000 1.522 Ag
4.100 -1.957 3.043 Ag
1.957 8.015 0.000 Ag
0.000 0.000 4.565 Ag
1.957 4.100 3.043 Ag
```

Properties
Mass density = 7.57 g cm⁻³
ΔE to the lowest computed polymorph = 3 meV/atom
Crystal system = tetragonal
Total moment = 0.00 μB/cell
Space-group type = No. 140

Record 15
Below is an optimized crystal structure of Co3TcH, with properties calculated at the PBEsol level.

```
Co3TcH
1.0
3.569 0.000 0.000
0.000 3.569 0.000
0.000 0.000 3.569
Co Tc H
3 1 1
Cartesian
0.000 0.000 1.784 Co
0.000 1.784 0.000 Co
1.784 0.000 0.000 Co
1.784 1.784 1.784 Tc
0.000 0.000 0.000 H
```

Properties
Mass density = 10.07 g cm⁻³
Total energy = -37.5 eV for the cell shown
Crystal system = cubic
Total moment = 2.11 μB/cell
Space-group type = No. 221

Record 16
Below is an optimized crystal structure of CaTl3, with properties calculated at the PBEsol level.

```
CaTl3
1.0
-2.354 2.354 4.870
2.354 -2.354 4.870
2.354 2.354 -4.870
Ca Tl
1 3
Cartesian
0.000 0.000 0.000 Ca
2.354 0.000 2.435 Tl
0.000 0.000 4.870 Tl
0.000 2.354 2.435 Tl
```

Properties
Mass density = 10.05 g cm⁻³
Total energy = -11.1 eV for the cell shown
Crystal system = tetragonal
Total moment = 0.00 μB/cell
Space-group type = No. 139

Record 17
Below is an optimized crystal structure of Na2InPCO7, with properties calculated at the PBEsol level.

```
Na2InPCO7
1.0
5.237 0.000 0.000
0.000 6.738 0.000
-0.154 0.000 9.134
Na In P C O
4 2 2 2 14
Cartesian
1.177 0.019 2.608 Na
1.177 3.350 2.608 Na
3.905 3.388 6.527 Na
3.905 6.719 6.527 Na
1.010 1.684 7.911 In
4.073 5.053 1.223 In
1.329 5.053 8.425 P
3.753 1.684 0.709 P
1.349 1.684 5.298 C
3.734 5.053 3.836 C
0.151 1.684 5.819 O
0.941 5.053 0.750 O
0.834 3.812 7.662 O
0.834 6.295 7.662 O
1.577 1.684 4.062 O
2.185 1.684 0.636 O
2.337 1.684 6.188 O
2.745 5.053 2.946 O
2.897 5.053 8.498 O
3.505 5.053 5.072 O
4.248 0.443 1.472 O
4.248 2.926 1.472 O
4.141 1.684 8.385 O
4.932 5.053 3.315 O
```

Properties
Mass density = 3.25 g cm⁻³
Formation energy from raw total energies = -1924 meV per atom
Crystal system = monoclinic
Total moment = 0.02 μB/cell
Space-group type = No. 11

Record 18
Below is an optimized crystal structure of MnTlSb, with properties calculated at the PBEsol level.

```
MnTlSb
1.0
0.000 3.274 3.274
3.274 0.000 3.274
3.274 3.274 0.000
Mn Tl Sb
1 1 1
Cartesian
0.000 0.000 0.000 Mn
4.911 4.911 4.911 Tl
1.637 1.637 1.637 Sb
```

Properties
Mass density = 9.01 g cm⁻³
Formation energy from raw total energies = 335 meV per atom
Crystal system = cubic
Total moment = 3.64 μB/cell
Space-group type = No. 216

Record 19
Below is an optimized crystal structure of MgAs, with properties calculated at the PBEsol level.

```
MgAs
1.0
3.528 0.000 0.000
-1.764 3.055 0.000
0.000 0.000 7.370
Mg As
2 2
Cartesian
0.000 0.000 0.000 Mg
0.000 0.000 3.685 Mg
0.000 2.037 1.843 As
1.764 1.018 5.528 As
```

Properties
Mass density = 4.15 g cm⁻³
ΔE to the lowest computed polymorph = 93 meV/atom
Crystal system = hexagonal
Total moment = 0.00 μB/cell
Space-group type = No. 194

Record 20
Below is an optimized crystal structure of Sc3Ru5, with properties calculated at the PBEsol level.

```
Sc3Ru5
1.0
3.123 -4.416 0.000
3.123 4.416 0.000
0.000 0.000 4.389
Sc Ru
3 5
Cartesian
0.000 0.000 0.000 Sc
3.123 2.179 2.195 Sc
3.123 -2.179 2.195 Sc
1.562 2.208 0.000 Ru
1.602 0.000 2.195 Ru
1.562 -2.208 0.000 Ru
3.123 0.000 0.000 Ru
4.645 0.000 2.195 Ru
```

Properties
Mass density = 8.78 g cm⁻³
Total energy = -72.9 eV for the cell shown
Crystal system = orthorhombic
Total moment = 0.22 μB/cell
Space-group type = No. 65